(1)
Computed, not measured: a geometry-optimized ErThPt2 structure at the PBE-GGA level of DFT.

POSCAR file:
```
ErThPt2
1.0
0.000 3.562 3.562
3.562 0.000 3.562
3.562 3.562 0.000
Er Th Pt
1 1 2
direct
0.000 0.000 0.000
0.500 0.500 0.500
0.250 0.250 0.250
0.750 0.750 0.750
```

Output
For the raw total energy, the calculation gives -7.15 eV per atom. Its space group is Fm-3m (225). For the offset from the most stable computed form, the calculation gives 39 kJ/mol of formula units. The calculation puts the total magnetization at 0.000 μB/atom. Its formation energy from the elements is -26.058 kcal/mol of atoms.

***

(2)
Computed, not measured: a geometry-optimized ErThTlPt structure at the PBE-GGA level of DFT.

POSCAR file:
```
ErThTlPt
1.0
0.000 3.700 3.700
3.700 0.000 3.700
3.700 3.700 0.000
Er Th Tl Pt
1 1 1 1
direct
0.000 0.000 0.000
0.500 0.500 0.500
0.750 0.750 0.750
0.250 0.250 0.250
```

Output
For the raw total energy, the calculation gives -5.64 eV per atom. Its space group is F-43m (216). The calculation puts the total magnetization at 0.000 μB/atom. Its formation energy from the elements is -12.565 kcal/mol of atoms.

***

(3)
Computed, not measured: a geometry-optimized ErThZnPt structure at the PBE-GGA level of DFT.

POSCAR file:
```
ErThZnPt
1.0
0.000 3.584 3.584
3.584 0.000 3.584
3.584 3.584 0.000
Er Th Zn Pt
1 1 1 1
direct
0.000 0.000 0.000
0.500 0.500 0.500
0.750 0.750 0.750
0.250 0.250 0.250
```

Output
For the raw total energy, the calculation gives -5.50 eV per atom. Its space group is F-43m (216). The calculation puts the total magnetization at 0.000 μB/atom. Its formation energy from the elements is -15.551 kcal/mol of atoms.

***

(4)
Computed, not measured: a geometry-optimized ErTiPt structure at the PBE-GGA level of DFT.

POSCAR file:
```
ErTiPt
1.0
4.411 0.000 0.000
0.000 4.411 0.000
0.000 0.000 6.579
Er Ti Pt
2 2 2
direct
0.250 0.250 0.138
0.750 0.750 0.862
0.250 0.750 0.500
0.750 0.250 0.500
0.250 0.250 0.705
0.750 0.750 0.295
```

Output
For the raw total energy, the calculation gives -7.01 eV per atom. Its space group is P4/nmm (129). The calculation puts the total magnetization at 0.000 μB/atom. Its formation energy from the elements is -19.430 kcal/mol of atoms.

***

(5)
Computed, not measured: a geometry-optimized Er5Ti3Pt12 structure at the PBE-GGA level of DFT.

POSCAR file:
```
Er5Ti3Pt12
1.0
-7.752 7.752 7.752
7.752 -7.752 7.752
7.752 7.752 -7.752
Er Ti Pt
20 12 48
direct
0.000 0.000 0.000
0.000 0.000 0.500
0.000 0.500 0.000
0.000 0.500 0.500
0.125 0.750 0.875
0.125 0.875 0.250
0.250 0.125 0.875
0.250 0.625 0.375
0.375 0.250 0.625
0.375 0.625 0.750
0.500 0.000 0.000
0.500 0.000 0.500
0.500 0.500 0.000
0.500 0.500 0.500
0.625 0.375 0.250
0.625 0.750 0.375
0.750 0.375 0.625
0.750 0.875 0.125
0.875 0.125 0.750
0.875 0.250 0.125
0.125 0.250 0.375
0.125 0.375 0.750
0.250 0.375 0.125
0.250 0.875 0.625
0.375 0.125 0.250
0.375 0.750 0.125
0.625 0.250 0.875
0.625 0.875 0.750
0.750 0.125 0.375
0.750 0.625 0.875
0.875 0.625 0.250
0.875 0.750 0.625
0.061 0.640 0.399
0.061 0.922 0.662
0.078 0.241 0.140
0.078 0.338 0.939
0.101 0.741 0.662
0.101 0.860 0.439
0.140 0.078 0.241
0.140 0.561 0.899
0.162 0.241 0.601
0.162 0.422 0.561
0.241 0.140 0.078
0.241 0.601 0.162
0.259 0.338 0.899
0.259 0.422 0.360
0.338 0.899 0.259
0.338 0.939 0.078
0.360 0.259 0.422
0.360 0.601 0.939
0.399 0.061 0.640
0.399 0.838 0.759
0.422 0.360 0.259
0.422 0.561 0.162
0.439 0.101 0.860
0.439 0.838 0.578
0.561 0.162 0.422
0.561 0.899 0.140
0.578 0.439 0.838
0.578 0.640 0.741
0.601 0.162 0.241
0.601 0.939 0.360
0.640 0.399 0.061
0.640 0.741 0.578
0.662 0.061 0.922
0.662 0.101 0.741
0.741 0.578 0.640
0.741 0.662 0.101
0.759 0.399 0.838
0.759 0.860 0.922
0.838 0.578 0.439
0.838 0.759 0.399
0.860 0.439 0.101
0.860 0.922 0.759
0.899 0.140 0.561
0.899 0.259 0.338
0.922 0.662 0.061
0.922 0.759 0.860
0.939 0.078 0.338
0.939 0.360 0.601
```

Output
For the raw total energy, the calculation gives -6.40 eV per atom. Its space group is Ia-3d (230). The calculation puts the total magnetization at 0.000 μB/atom. Its formation energy from the elements is -10.452 kcal/mol of atoms.

***

(6)
Computed, not measured: a geometry-optimized ErTiPt2 structure at the PBE-GGA level of DFT.

POSCAR file:
```
ErTiPt2
1.0
2.222 1.283 4.566
-2.222 1.283 4.566
0.000 -2.566 4.566
Er Ti Pt
1 1 2
direct
0.000 0.000 0.000
0.500 0.500 0.500
0.215 0.215 0.215
0.785 0.785 0.785
```

Output
For the raw total energy, the calculation gives -7.15 eV per atom. Its space group is R-3m (166). For the offset from the most stable computed form, the calculation gives 0 kJ/mol of formula units. The calculation puts the total magnetization at 0.000 μB/atom. Its formation energy from the elements is -23.434 kcal/mol of atoms.

***

(7)
Computed, not measured: a geometry-optimized ErTiPt2 structure at the PBE-GGA level of DFT.

POSCAR file:
```
ErTiPt2
1.0
4.906 0.000 0.000
0.000 4.906 0.000
0.000 0.000 3.021
Er Ti Pt
1 1 2
direct
0.000 0.000 0.000
0.500 0.500 0.000
0.000 0.500 0.500
0.500 0.000 0.500
```

Output
For the raw total energy, the calculation gives -7.06 eV per atom. Its space group is P4/mmm (123). For the offset from the most stable computed form, the calculation gives 36 kJ/mol of formula units. The calculation puts the total magnetization at 0.022 μB/atom. Its formation energy from the elements is -21.278 kcal/mol of atoms.

***

(8)
Computed, not measured: a geometry-optimized ErTiPt2 structure at the PBE-GGA level of DFT.

POSCAR file:
```
ErTiPt2
1.0
3.210 0.000 0.000
0.000 3.210 0.000
0.000 0.000 7.099
Er Ti Pt
1 1 2
direct
0.000 0.000 0.000
0.000 0.000 0.500
0.500 0.500 0.292
0.500 0.500 0.708
```

Output
For the raw total energy, the calculation gives -7.15 eV per atom. Its space group is P4/mmm (123). For the offset from the most stable computed form, the calculation gives 0 kJ/mol of formula units. The calculation puts the total magnetization at 0.000 μB/atom. Its formation energy from the elements is -23.456 kcal/mol of atoms.

***

(9)
Computed, not measured: a geometry-optimized Er11Tl9Pt4 structure at the PBE-GGA level of DFT.

POSCAR file:
```
Er11Tl9Pt4
1.0
7.371 -11.066 0.000
7.371 11.066 0.000
0.000 0.000 3.655
Er Tl Pt
11 9 4
direct
0.000 0.000 0.000
0.080 0.417 0.000
0.161 0.839 0.000
0.308 0.308 0.000
0.372 0.628 0.000
0.417 0.080 0.000
0.583 0.920 0.000
0.628 0.372 0.000
0.692 0.692 0.000
0.839 0.161 0.000
0.920 0.583 0.000
0.066 0.213 0.500
0.149 0.633 0.500
0.213 0.066 0.500
0.367 0.851 0.500
0.500 0.500 0.500
0.633 0.149 0.500
0.787 0.934 0.500
0.851 0.367 0.500
0.934 0.787 0.500
0.249 0.450 0.500
0.450 0.249 0.500
0.550 0.751 0.500
0.751 0.550 0.500
```

Output
For the raw total energy, the calculation gives -4.66 eV per atom. Its space group is Cmmm (65). The calculation puts the total magnetization at 0.000 μB/atom. Its formation energy from the elements is -15.471 kcal/mol of atoms.

***

(10)
Computed, not measured: a geometry-optimized Er6TlPt2 structure at the PBE-GGA level of DFT.

POSCAR file:
```
Er6TlPt2
1.0
-4.674 4.851 5.198
4.674 -4.851 5.198
4.674 4.851 -5.198
Er Tl Pt
12 2 4
direct
0.032 0.236 0.796
0.183 0.291 0.474
0.183 0.709 0.892
0.331 0.029 0.698
0.331 0.633 0.302
0.440 0.236 0.204
0.560 0.764 0.796
0.669 0.367 0.698
0.669 0.971 0.302
0.817 0.291 0.108
0.817 0.709 0.526
0.968 0.764 0.204
0.000 0.000 0.000
0.500 0.500 0.000
0.136 0.636 0.500
0.342 0.000 0.342
0.658 0.000 0.658
0.864 0.364 0.500
```

Output
For the raw total energy, the calculation gives -5.38 eV per atom. Its space group is Immm (71). The calculation puts the total magnetization at 0.000 μB/atom. Its formation energy from the elements is -16.839 kcal/mol of atoms.

***

(11)
Computed, not measured: a geometry-optimized Er12Tl6Pt structure at the PBE-GGA level of DFT.

POSCAR file:
```
Er12Tl6Pt
1.0
6.609 3.816 4.092
-6.609 3.816 4.092
0.000 -7.631 4.092
Er Tl Pt
12 6 1
direct
0.036 0.687 0.935
0.065 0.964 0.313
0.185 0.432 0.569
0.313 0.065 0.964
0.431 0.815 0.568
0.432 0.569 0.185
0.568 0.431 0.815
0.569 0.185 0.432
0.687 0.935 0.036
0.815 0.568 0.431
0.935 0.036 0.687
0.964 0.313 0.065
0.133 0.624 0.303
0.303 0.133 0.624
0.376 0.697 0.867
0.624 0.303 0.133
0.697 0.867 0.376
0.867 0.376 0.697
0.000 0.000 0.000
```

Output
For the raw total energy, the calculation gives -4.07 eV per atom. Its space group is R-3 (148). The calculation puts the total magnetization at 0.000 μB/atom. Its formation energy from the elements is -2.944 kcal/mol of atoms.

***

(12)
Computed, not measured: a geometry-optimized Er3Tl2Pt structure at the PBE-GGA level of DFT.

POSCAR file:
```
Er3Tl2Pt
1.0
7.534 -3.079 0.000
7.534 3.079 0.000
-1.766 0.000 6.696
Er Tl Pt
6 4 2
direct
0.137 0.863 0.750
0.286 0.423 0.408
0.423 0.286 0.908
0.577 0.714 0.092
0.714 0.577 0.592
0.863 0.137 0.250
0.094 0.248 0.044
0.248 0.094 0.544
0.752 0.906 0.456
0.906 0.752 0.956
0.376 0.624 0.250
0.624 0.376 0.750
```

Output
For the raw total energy, the calculation gives -4.61 eV per atom. Its space group is C2/c (15). The calculation puts the total magnetization at 0.000 μB/atom. Its formation energy from the elements is -12.325 kcal/mol of atoms.

***

(13)
Computed, not measured: a geometry-optimized Er2TlPt structure at the PBE-GGA level of DFT.

POSCAR file:
```
Er2TlPt
1.0
1.990 1.149 8.019
-1.990 1.149 8.019
0.000 -2.298 8.019
Er Tl Pt
2 1 1
direct
0.000 0.000 0.000
0.202 0.202 0.202
0.434 0.434 0.434
0.600 0.600 0.600
```

Output
For the raw total energy, the calculation gives -5.11 eV per atom. Its space group is R3m (160). For the offset from the most stable computed form, the calculation gives 31 kJ/mol of formula units. The calculation puts the total magnetization at 0.000 μB/atom. Its formation energy from the elements is -16.767 kcal/mol of atoms.

***

(14)
Computed, not measured: a geometry-optimized Er8TlPt2 structure at the PBE-GGA level of DFT.

POSCAR file:
```
Er8TlPt2
1.0
4.340 -6.688 0.000
4.340 6.688 0.000
-1.415 0.000 5.237
Er Tl Pt
8 1 2
direct
0.079 0.332 0.580
0.244 0.756 0.000
0.332 0.079 0.580
0.392 0.392 0.197
0.608 0.608 0.803
0.668 0.921 0.420
0.756 0.244 0.000
0.921 0.668 0.420
0.000 0.000 0.000
0.305 0.695 0.500
0.695 0.305 0.500
```

Output
For the raw total energy, the calculation gives -5.14 eV per atom. Its space group is C2/m (12). The calculation puts the total magnetization at 0.029 μB/atom. Its formation energy from the elements is -11.675 kcal/mol of atoms.

***

(15)
Computed, not measured: a geometry-optimized ErTlPt2 structure at the PBE-GGA level of DFT.

POSCAR file:
```
ErTlPt2
1.0
3.523 0.000 0.000
0.000 3.523 0.000
0.000 0.000 6.624
Er Tl Pt
1 1 2
direct
0.000 0.000 0.000
0.000 0.000 0.500
0.500 0.500 0.233
0.500 0.500 0.767
```

Output
For the raw total energy, the calculation gives -5.44 eV per atom. Its space group is P4/mmm (123). The calculation puts the total magnetization at 0.000 μB/atom. Its formation energy from the elements is -15.923 kcal/mol of atoms.

***

(16)
Computed, not measured: a geometry-optimized Er12Tl5Pt2 structure at the PBE-GGA level of DFT.

POSCAR file:
```
Er12Tl5Pt2
1.0
8.583 -3.540 0.000
8.583 3.540 0.000
-0.654 0.000 8.860
Er Tl Pt
12 5 2
direct
0.005 0.005 0.292
0.096 0.606 0.479
0.097 0.596 0.064
0.394 0.904 0.521
0.404 0.903 0.936
0.461 0.461 0.819
0.539 0.539 0.181
0.596 0.097 0.064
0.606 0.096 0.479
0.903 0.404 0.936
0.904 0.394 0.521
0.995 0.995 0.708
0.212 0.212 0.247
0.275 0.275 0.751
0.500 0.500 0.500
0.725 0.725 0.249
0.788 0.788 0.753
0.194 0.806 0.000
0.806 0.194 0.000
```

Output
For the raw total energy, the calculation gives -4.51 eV per atom. Its space group is C2/m (12). The calculation puts the total magnetization at 0.000 μB/atom. Its formation energy from the elements is -8.531 kcal/mol of atoms.

***

(17)
Computed, not measured: a geometry-optimized Er4TlPt2 structure at the PBE-GGA level of DFT.

POSCAR file:
```
Er4TlPt2
1.0
3.643 -5.085 0.000
3.643 5.085 0.000
0.000 0.000 4.736
Er Tl Pt
4 1 2
direct
0.000 0.500 0.500
0.225 0.225 0.000
0.500 0.000 0.500
0.775 0.775 0.000
0.500 0.500 0.500
0.233 0.767 0.000
0.767 0.233 0.000
```

Output
For the raw total energy, the calculation gives -5.44 eV per atom. Its space group is Cmmm (65). For the offset from the most stable computed form, the calculation gives 0 kJ/mol of formula units. The calculation puts the total magnetization at 0.000 μB/atom. Its formation energy from the elements is -17.680 kcal/mol of atoms.

***

(18)
Computed, not measured: a geometry-optimized Er5TlPt structure at the PBE-GGA level of DFT.

POSCAR file:
```
Er5TlPt
1.0
5.404 -3.444 0.000
5.404 3.444 0.000
-3.656 0.000 10.828
Er Tl Pt
10 2 2
direct
0.002 0.998 0.750
0.055 0.405 0.638
0.212 0.532 0.950
0.405 0.055 0.138
0.468 0.788 0.550
0.532 0.212 0.450
0.595 0.945 0.862
0.788 0.468 0.050
0.945 0.595 0.362
0.998 0.002 0.250
0.461 0.539 0.250
0.539 0.461 0.750
0.000 0.000 0.000
0.000 0.000 0.500
```

Output
For the raw total energy, the calculation gives -4.78 eV per atom. Its space group is C2/c (15). The calculation puts the total magnetization at 0.000 μB/atom. Its formation energy from the elements is -7.428 kcal/mol of atoms.

***

(19)
Computed, not measured: a geometry-optimized Er4TlPt2 structure at the PBE-GGA level of DFT.

POSCAR file:
```
Er4TlPt2
1.0
2.332 1.346 9.874
-2.332 1.346 9.874
0.000 -2.693 9.874
Er Tl Pt
4 1 2
direct
0.111 0.111 0.111
0.299 0.299 0.299
0.701 0.701 0.701
0.889 0.889 0.889
0.500 0.500 0.500
0.399 0.399 0.399
0.601 0.601 0.601
```

Output
For the raw total energy, the calculation gives -5.43 eV per atom. Its space group is R-3m (166). For the offset from the most stable computed form, the calculation gives 6 kJ/mol of formula units. The calculation puts the total magnetization at 0.000 μB/atom. Its formation energy from the elements is -17.466 kcal/mol of atoms.